A plane-wave DFT calculation with PBE was carried out for crystalline PmNpCuO6 at its relaxed geometry.

Cell lengths 5.1348, 5.1348, 9.7666 Å; angles 90.00, 90.00, 90.00 degrees
Closest atoms and distances in Å follow each position.
Fractional positions:
O: 0.1751 0.8249 0.1667  1 Np 2.04, 1 Cu 2.06
O: 0.2088 0.7912 0.8518  1 Cu 2.10, 1 Np 2.13, 1 Pm 2.27
O: 0.3160 0.3160 0.9764  1 Np 1.96
O: 0.8160 0.1840 0.4764  1 Np 1.96
Np: 0.5000 0.5000 0.8303  6 O 1.96-2.13
O: 0.8249 0.1751 0.1667  1 Np 2.04, 1 Cu 2.06
O: 0.7088 0.7088 0.3518  1 Cu 2.10, 1 Np 2.13, 1 Pm 2.27
Np: 0.0000 0.0000 0.3303  6 O 1.96-2.13
O: 0.6840 0.6840 0.9764  1 Np 1.96
Pm: 0.0000 0.0000 0.6790  6 O 2.27-2.39
Pm: 0.5000 0.5000 0.1790  6 O 2.27-2.39
Cu: 0.5000 0.5000 0.5009  4 O 2.06-2.10
O: 0.7912 0.2088 0.8518  1 Cu 2.10, 1 Np 2.13, 1 Pm 2.27
O: 0.3249 0.3249 0.6667  1 Np 2.04, 1 Cu 2.06
O: 0.1840 0.8160 0.4764  1 Np 1.96
Cu: 0.0000 0.0000 0.0009  4 O 2.06-2.10
O: 0.2912 0.2912 0.3518  1 Cu 2.10, 1 Np 2.13, 1 Pm 2.27
O: 0.6751 0.6751 0.6667  1 Np 2.04, 1 Cu 2.06

E_form (uncorrected) in eV/atom: -2.26
SG: P4_2nm (102)